1.
# ScCu2F

Crystalline ScCu2F at its relaxed geometry (PBEsol, Alexandria).

a = 4.312 Å, b = 4.312 Å, c = 4.312 Å
α = 60.00°, β = 60.00°, γ = 60.00°
Positions (direct):
Sc 0.500 0.500 0.500
Cu 0.250 0.250 0.250
Cu 0.750 0.750 0.750
F 0.000 0.000 0.000

Output
Space-group type: Fm-3m
Volume, A^3/atom: 14.18
Raw total energy, eV/atom: -4.53

---

2.
# MgCu2Mo2O8

Crystalline MgCu2Mo2O8 at its relaxed geometry (PBEsol, Alexandria).

a = 6.504 Å, b = 8.373 Å, c = 12.233 Å
α = 90.00°, β = 92.55°, γ = 90.00°
Positions (direct):
Mg 0.112 0.843 0.052
Mg 0.888 0.157 0.948
Mg 0.888 0.343 0.448
Mg 0.112 0.657 0.552
Cu 0.773 0.824 0.854
Cu 0.372 0.948 0.605
Cu 0.628 0.052 0.395
Cu 0.227 0.176 0.146
Cu 0.773 0.676 0.354
Cu 0.372 0.552 0.105
Cu 0.227 0.324 0.646
Cu 0.628 0.448 0.895
Mo 0.101 0.544 0.848
Mo 0.101 0.956 0.348
Mo 0.620 0.932 0.133
Mo 0.899 0.044 0.652
Mo 0.380 0.068 0.867
Mo 0.380 0.432 0.367
Mo 0.620 0.568 0.633
Mo 0.899 0.456 0.152
O 0.048 0.759 0.398
O 0.656 0.995 0.592
O 0.183 0.438 0.468
O 0.817 0.938 0.032
O 0.048 0.741 0.898
O 0.952 0.241 0.602
O 0.076 0.892 0.607
O 0.513 0.122 0.143
O 0.513 0.378 0.643
O 0.279 0.119 0.733
O 0.721 0.619 0.767
O 0.487 0.878 0.857
O 0.924 0.108 0.393
O 0.874 0.459 0.296
O 0.419 0.701 0.589
O 0.419 0.799 0.089
O 0.126 0.959 0.204
O 0.487 0.622 0.357
O 0.126 0.541 0.704
O 0.817 0.562 0.532
O 0.656 0.505 0.092
O 0.721 0.881 0.267
O 0.952 0.259 0.102
O 0.076 0.608 0.107
O 0.183 0.062 0.968
O 0.581 0.201 0.911
O 0.344 0.005 0.408
O 0.344 0.495 0.908
O 0.924 0.392 0.893
O 0.581 0.299 0.411
O 0.279 0.381 0.233
O 0.874 0.041 0.796

Output
Space-group type: P2_1/c
Volume, A^3/atom: 12.80
Raw total energy, eV/atom: -7.55

---

3.
# Ga3ReTe

Crystalline Ga3ReTe at its relaxed geometry (PBEsol, Alexandria).

a = 5.134 Å, b = 5.134 Å, c = 5.134 Å
α = 90.00°, β = 90.00°, γ = 90.00°
Last column: magnetic moment on the atom in μB.
Positions (direct):
Re 0.500 0.500 0.500  3.24
Te 0.000 0.000 0.000  0.01
Ga 0.000 0.500 0.000  -0.03
Ga 0.000 0.000 0.500  -0.03
Ga 0.500 0.000 0.000  -0.03

Output
Space-group type: Pm-3m
Volume, A^3/atom: 27.06
Raw total energy, eV/atom: -3.53

---

The calculation returns the following formation energy (no corrections) values, one per record and in order: -0.232 -1.708 1.844 eV/atom.